(1)
# PBE Ho12Cd5Ga3, optimized geometry
data_Ho12Cd5Ga3
_space_group_name_H-M_alt 'I a -3 d'
_space_group_IT_number 230
_space_group_name_Hall '-I 4bd 2c 3'
_cell_length_a 17.372
_cell_length_b 17.372
_cell_length_c 17.372
_cell_angle_alpha 90.00
_cell_angle_beta 90.00
_cell_angle_gamma 90.00
loop_
_atom_site_label
_atom_site_type_symbol
_atom_site_fract_x
_atom_site_fract_y
_atom_site_fract_z
_atom_site_occupancy
Ho1 Ho 0.014 0.080 0.649 1
Cd1 Cd 0.000 0.000 0.000 1
Cd2 Cd 0.000 0.250 0.375 1
Ga1 Ga 0.000 0.250 0.125 1
# **ΔH_f (0 K)**: 219 meV/atom
# **Fermi-level density of states**: 1.19 states/eV/atom

(2)
# PBE Ho5Cd4Ga, optimized geometry
data_Ho5Cd4Ga
_space_group_name_H-M_alt 'P 4/m m m'
_space_group_IT_number 123
_space_group_name_Hall '-P 4 2'
_cell_length_a 3.685
_cell_length_b 3.685
_cell_length_c 18.544
_cell_angle_alpha 90.00
_cell_angle_beta 90.00
_cell_angle_gamma 90.00
loop_
_atom_site_label
_atom_site_type_symbol
_atom_site_fract_x
_atom_site_fract_y
_atom_site_fract_z
_atom_site_occupancy
Ho1 Ho 0.000 0.000 0.000 1
Ho2 Ho 0.000 0.000 0.204 1
Ho3 Ho 0.000 0.000 0.408 1
Cd1 Cd 0.500 0.500 0.102 1
Cd2 Cd 0.500 0.500 0.305 1
Ga1 Ga 0.500 0.500 0.500 1
# **ΔH_f (0 K)**: -369 meV/atom
# **Fermi-level density of states**: 0.92 states/eV/atom

(3)
# PBE HoCdGa2, optimized geometry
data_HoCdGa2
_space_group_name_H-M_alt 'R -3 m'
_space_group_IT_number 166
_space_group_name_Hall '-R 3 2"'
_cell_length_a 4.4652
_cell_length_b 4.4652
_cell_length_c 15.0021
_cell_angle_alpha 90.00
_cell_angle_beta 90.00
_cell_angle_gamma 120.00
loop_
_atom_site_label
_atom_site_type_symbol
_atom_site_fract_x
_atom_site_fract_y
_atom_site_fract_z
_atom_site_occupancy
Ho1 Ho 0.0000 0.0000 0.0000 1
Cd1 Cd 0.0000 0.0000 0.5000 1
Ga1 Ga 0.0000 0.0000 0.2307 1
# **E above lowest polymorph**: 98 meV/atom
# **ΔH_f (0 K)**: -323 meV/atom
# **Fermi-level density of states**: 0.34 states/eV/atom

(4)
# PBE HoCd2Ga, optimized geometry
data_HoCd2Ga
_space_group_name_H-M_alt 'P 4/m m m'
_space_group_IT_number 123
_space_group_name_Hall '-P 4 2'
_cell_length_a 4.319
_cell_length_b 4.319
_cell_length_c 4.801
_cell_angle_alpha 90.00
_cell_angle_beta 90.00
_cell_angle_gamma 90.00
loop_
_atom_site_label
_atom_site_type_symbol
_atom_site_fract_x
_atom_site_fract_y
_atom_site_fract_z
_atom_site_occupancy
Ho1 Ho 0.000 0.000 0.000 1
Cd1 Cd 0.000 0.500 0.500 1
Ga1 Ga 0.500 0.500 0.000 1
# **E above lowest polymorph**: 0 meV/atom
# **ΔH_f (0 K)**: -333 meV/atom
# **Fermi-level density of states**: 0.64 states/eV/atom

(5)
# PBE HoCdGa2, optimized geometry
data_HoCdGa2
_space_group_name_H-M_alt 'P n m a'
_space_group_IT_number 62
_cell_length_a 7.759
_cell_length_b 4.162
_cell_length_c 10.557
_cell_angle_alpha 90.00
_cell_angle_beta 90.00
_cell_angle_gamma 90.00
loop_
_space_group_symop_operation_xyz
'x,y,z'
'-x,-y,-z'
'-x+1/2,-y,z+1/2'
'x+1/2,y,-z+1/2'
'x+1/2,-y+1/2,-z+1/2'
'-x+1/2,y+1/2,z+1/2'
'-x,y+1/2,-z'
'x,-y+1/2,z'
loop_
_atom_site_label
_atom_site_type_symbol
_atom_site_fract_x
_atom_site_fract_y
_atom_site_fract_z
_atom_site_occupancy
Ho1 Ho 0.142 0.250 0.139 1
Cd1 Cd 0.007 0.750 0.390 1
Ga1 Ga 0.140 0.250 0.834 1
Ga2 Ga 0.237 0.750 0.944 1
# **E above lowest polymorph**: 16 meV/atom
# **ΔH_f (0 K)**: -405 meV/atom
# **Fermi-level density of states**: 0.40 states/eV/atom

(6)
# PBE Ho4CdGa, optimized geometry
data_Ho4CdGa
_space_group_name_H-M_alt 'P 4/m m m'
_space_group_IT_number 123
_space_group_name_Hall '-P 4 2'
_cell_length_a 4.976
_cell_length_b 4.976
_cell_length_c 7.246
_cell_angle_alpha 90.00
_cell_angle_beta 90.00
_cell_angle_gamma 90.00
loop_
_atom_site_label
_atom_site_type_symbol
_atom_site_fract_x
_atom_site_fract_y
_atom_site_fract_z
_atom_site_occupancy
Ho1 Ho 0.000 0.500 0.242 1
Cd1 Cd 0.000 0.000 0.500 1
Ga1 Ga 0.500 0.500 0.000 1
# **ΔH_f (0 K)**: -62 meV/atom
# **Fermi-level density of states**: 1.56 states/eV/atom

> Which value of Fermi-level density of states does entry 4 give?

0.64 states/eV/atom

> Among the records above, which one has the highest ΔH_f (0 K)?

Ho12Cd5Ga3

> Among the records above, which one has the highest Fermi-level density of states?

Ho4CdGa

> Fermi-level density of states of number 4 (HoCd2Ga)?

0.64 states/eV/atom